No. 1
Here is Ho11Er9Th4 after structural relaxation from Alexandria via LeMat-Bulk. Energies are from PBE.

- energy relative to the elements (eV per atom) = 0.11
- crystal system = orthorhombic

Lattice parameters (Å, degrees): 15.0459 15.0459 3.6584 90.00 90.00 112.74
Positions (direct):
Ho: 0.0000 0.0000 0.0000
Ho: 0.0458 0.4083 0.0000
Ho: 0.1595 0.8405 0.0000
Ho: 0.2804 0.2804 0.0000
Ho: 0.3627 0.6373 0.0000
Ho: 0.4083 0.0458 0.0000
Ho: 0.5917 0.9542 0.0000
Ho: 0.6373 0.3627 0.0000
Ho: 0.7196 0.7196 0.0000
Ho: 0.8405 0.1595 0.0000
Ho: 0.9542 0.5917 0.0000
Er: 0.0642 0.2112 0.5000
Er: 0.1620 0.6345 0.5000
Er: 0.2112 0.0642 0.5000
Er: 0.3655 0.8380 0.5000
Er: 0.5000 0.5000 0.5000
Er: 0.6345 0.1620 0.5000
Er: 0.7888 0.9358 0.5000
Er: 0.8380 0.3655 0.5000
Er: 0.9358 0.7888 0.5000
Th: 0.2461 0.4449 0.5000
Th: 0.4449 0.2461 0.5000
Th: 0.5551 0.7539 0.5000
Th: 0.7539 0.5551 0.5000

No. 2
Here is Na3LiRu3O8 after structural relaxation from Alexandria via LeMat-Bulk. Energies are from PBE.

- crystal system = trigonal
- uncorrected formation energy (eV/atom) = -1.230

Lattice parameters (Å, degrees): 6.5102 6.5102 6.5102 54.74 54.74 54.74
Positions (direct):
Na: 0.0000 0.5000 0.5000
Na: 0.5000 0.0000 0.5000
Na: 0.5000 0.5000 0.0000
Li: 0.5000 0.5000 0.5000
Ru: 0.0000 0.0000 0.5000
Ru: 0.0000 0.5000 0.0000
Ru: 0.5000 0.0000 0.0000
O: 0.2241 0.7370 0.7370
O: 0.2379 0.2379 0.2379
O: 0.2630 0.2630 0.7759
O: 0.2630 0.7759 0.2630
O: 0.7370 0.2241 0.7370
O: 0.7370 0.7370 0.2241
O: 0.7621 0.7621 0.7621
O: 0.7759 0.2630 0.2630

No. 3
Here is Tl2InHgBi after structural relaxation from Alexandria via LeMat-Bulk. Energies are from PBE.

- energy relative to the elements (eV per atom) = 0.32
- crystal system = tetragonal

Lattice parameters (Å, degrees): 5.7791 5.7791 5.5947 90.00 90.00 90.00
Positions (direct):
Tl: 0.0000 0.5000 0.0000
Tl: 0.5000 0.0000 0.0000
In: 0.0000 0.0000 0.5000
Hg: 0.0000 0.0000 0.0000
Bi: 0.5000 0.5000 0.5000

No. 4
Here is EuEr3Ir after structural relaxation from Alexandria via LeMat-Bulk. Energies are from PBE.

- energy relative to the elements (eV per atom) = -0.37
- crystal system = cubic

Lattice parameters (Å, degrees): 5.4404 5.4404 5.4404 90.00 90.00 90.00
Positions (direct):
Eu: 0.0000 0.0000 0.0000
Er: 0.0000 0.5000 0.5000
Er: 0.5000 0.0000 0.5000
Er: 0.5000 0.5000 0.0000
Ir: 0.5000 0.5000 0.5000

no.,N(E_F) (states/eV per cell),calculated total energy (eV per atom)
1,35.49,-4.936
2,6.63,-6.121
3,2.77,-2.007
4,5.21,-6.934